Record 1
Crystalline LiErTmHg at its relaxed geometry. Source: Alexandria, functional PBE.

Cell: 7.303 7.303 7.303 Å, 90.00 90.00 90.00°
Space group F-43m (No. 216)
Inequivalent atoms, fractional coordinates:
Li  0.000  0.000  0.000 [4 per cell]
Er  0.250  0.250  0.250 [4 per cell]
Tm  0.250  0.250  0.750 [4 per cell]
Hg  0.000  0.000  0.500 [4 per cell]

Summary:
D(E_F) in states/eV/cell: 16.70
Calculated volume in Å³/atom: 24.35
E_form in eV/atom: -0.215
ρ in g/cm³: 9.3

---

Record 2
Crystalline Pm3GaAs at its relaxed geometry. Source: Alexandria, functional PBE.

Cell: 5.514 5.514 5.514 Å, 90.00 90.00 90.00°
Space group Pm-3m (No. 221)
Inequivalent atoms, fractional coordinates:
Pm  0.000  0.000  0.500 [3 per cell]
Ga  0.500  0.500  0.500 [1 per cell]
As  0.000  0.000  0.000 [1 per cell]

Summary:
D(E_F) in states/eV/cell: 2.77
Calculated volume in Å³/atom: 33.53
E_form in eV/atom: -0.402
ρ in g/cm³: 5.7

---

Record 3
Crystalline PaNiPt4 at its relaxed geometry. Source: Alexandria, functional PBE.

Cell: 7.491 7.491 7.491 Å, 90.00 90.00 90.00°
Space group F-43m (No. 216)
Inequivalent atoms, fractional coordinates:
Pa  0.000  0.000  0.000 [4 per cell]
Ni  0.250  0.250  0.750 [4 per cell]
Pt  0.124  0.124  0.376 [16 per cell]

Summary:
Distance to the lowest polymorph of the same formula in eV/atom: 0.020
D(E_F) in states/eV/cell: 29.45
Calculated volume in Å³/atom: 17.52
E_form in eV/atom: -0.619
ρ in g/cm³: 16.9

---

Which of these has the highest D(E_F)? PaNiPt4